Model P:
Rb2NaOs: relaxed, PBE.

Computed properties:
space-group type: Fm-3m (225)
magnetization: 2.30 μB/cell
Fermi-level density of states: 6.1 states/eV per cell

abc: 5.9816 5.9816 5.9816
angles: 60.00 60.00 60.00
Last column: nearest neighbours and their distance in Å.
Fractional positions:
Na 0.0000 0.0000 0.0000  8 Rb 3.66
Os 0.5000 0.5000 0.5000  8 Rb 3.66
Rb 0.2500 0.2500 0.2500  4 Na 3.66, 4 Os 3.66
Rb 0.7500 0.7500 0.7500  4 Na 3.66, 4 Os 3.66



Model Q:
Rb2NaOs: relaxed, PBE.

Computed properties:
space-group type: I-42d (122)
magnetization: 3.10 μB/cell
Fermi-level density of states: 11.5 states/eV per cell

abc: 4.9734 4.9734 12.2964
angles: 78.33 78.33 90.00
Last column: nearest neighbours and their distance in Å.
Fractional positions:
Na 0.5000 0.5000 0.0000  4 Rb 3.45, 4 Os 3.52
Na 0.2500 0.7500 0.5000  4 Rb 3.45, 4 Os 3.52
Os 0.0000 0.0000 0.0000  4 Rb 3.41, 4 Na 3.52
Os 0.7500 0.2500 0.5000  4 Rb 3.41, 4 Na 3.52
Rb 0.6373 0.1250 0.2500  2 Os 3.41, 4 Rb 3.43-3.60, 2 Na 3.45
Rb 0.1127 0.6250 0.2500  2 Os 3.41, 4 Rb 3.43-3.60, 2 Na 3.45
Rb 0.3750 0.3627 0.7500  2 Os 3.41, 4 Rb 3.43-3.60, 2 Na 3.45
Rb 0.8750 0.8873 0.7500  2 Os 3.41, 4 Rb 3.43-3.60, 2 Na 3.45



Here is how they stack up, most stable first: model P, model Q.